w) # ZnIrI3, single point on PBEsol structure, DFT SCAN
# - crystal system = cubic
# - theoretical density (kg/m³) = 6967
data_ZnIrI3
_space_group_name_H-M_alt 'P m -3 m'
_space_group_IT_number 221
_space_group_name_Hall '-P 4 2 3'
_cell_length_a 5.339
_cell_length_b 5.339
_cell_length_c 5.339
_cell_angle_alpha 90.00
_cell_angle_beta 90.00
_cell_angle_gamma 90.00
loop_
_atom_site_label
_atom_site_type_symbol
_atom_site_fract_x
_atom_site_fract_y
_atom_site_fract_z
Zn1 Zn 0.000 0.000 0.000
Ir1 Ir 0.500 0.500 0.500
I1 I 0.000 0.500 0.500



x) # ZnIrI3, single point on PBEsol structure, DFT SCAN
# - crystal system = cubic
# - theoretical density (kg/m³) = 7118
data_ZnIrI3
_space_group_name_H-M_alt 'P m -3 m'
_space_group_IT_number 221
_space_group_name_Hall '-P 4 2 3'
_cell_length_a 5.301
_cell_length_b 5.301
_cell_length_c 5.301
_cell_angle_alpha 90.00
_cell_angle_beta 90.00
_cell_angle_gamma 90.00
loop_
_atom_site_label
_atom_site_type_symbol
_atom_site_fract_x
_atom_site_fract_y
_atom_site_fract_z
Zn1 Zn 0.000 0.000 0.000
Ir1 Ir 0.500 0.500 0.500
I1 I 0.000 0.000 0.500



w) takes first place; second place is 632 meV per atom up.



w) # Cu2Pt, single point on PBEsol structure, DFT SCAN
# - crystal system = monoclinic
# - theoretical density (kg/m³) = 14045
data_Cu2Pt
_space_group_name_H-M_alt 'C 1 2 1'
_space_group_IT_number 5
_cell_length_a 7.530
_cell_length_b 7.524
_cell_length_c 5.696
_cell_angle_alpha 90.00
_cell_angle_beta 109.23
_cell_angle_gamma 90.00
loop_
_space_group_symop_operation_xyz
'x,y,z'
'-x,y,-z'
'x+1/2,y+1/2,z'
'-x+1/2,y+1/2,-z'
loop_
_atom_site_label
_atom_site_type_symbol
_atom_site_fract_x
_atom_site_fract_y
_atom_site_fract_z
Cu1 Cu 0.000 0.000 0.000
Cu2 Cu 0.000 0.479 0.000
Cu3 Cu 0.082 0.238 0.334
Cu4 Cu 0.166 0.991 0.671
Cu5 Cu 0.239 0.239 0.998
Pt1 Pt 0.080 0.742 0.318
Pt2 Pt 0.171 0.490 0.677



x) # Cu2Pt, single point on PBEsol structure, DFT SCAN
# - crystal system = orthorhombic
# - theoretical density (kg/m³) = 14104
data_Cu2Pt
_space_group_name_H-M_alt 'P n m a'
_space_group_IT_number 62
_cell_length_a 5.198
_cell_length_b 3.745
_cell_length_c 7.794
_cell_angle_alpha 90.00
_cell_angle_beta 90.00
_cell_angle_gamma 90.00
loop_
_space_group_symop_operation_xyz
'x,y,z'
'-x,-y,-z'
'-x+1/2,-y,z+1/2'
'x+1/2,y,-z+1/2'
'x+1/2,-y+1/2,-z+1/2'
'-x+1/2,y+1/2,z+1/2'
'-x,y+1/2,-z'
'x,-y+1/2,z'
loop_
_atom_site_label
_atom_site_type_symbol
_atom_site_fract_x
_atom_site_fract_y
_atom_site_fract_z
Cu1 Cu 0.112 0.250 0.249
Cu2 Cu 0.128 0.250 0.918
Pt1 Pt 0.136 0.250 0.588



y) # Cu2Pt, single point on PBEsol structure, DFT SCAN
# - crystal system = orthorhombic
# - theoretical density (kg/m³) = 14048
data_Cu2Pt
_space_group_name_H-M_alt 'F m m 2'
_space_group_IT_number 42
_space_group_name_Hall 'F 2 -2'
_cell_length_a 5.278
_cell_length_b 7.333
_cell_length_c 15.743
_cell_angle_alpha 90.00
_cell_angle_beta 90.00
_cell_angle_gamma 90.00
loop_
_atom_site_label
_atom_site_type_symbol
_atom_site_fract_x
_atom_site_fract_y
_atom_site_fract_z
Cu1 Cu 0.000 0.000 0.000
Cu2 Cu 0.000 0.000 0.159
Cu3 Cu 0.000 0.000 0.498
Cu4 Cu 0.000 0.000 0.826
Cu5 Cu 0.250 0.250 0.079
Cu6 Cu 0.250 0.250 0.242
Pt1 Pt 0.000 0.000 0.322
Pt2 Pt 0.000 0.000 0.660
Pt3 Pt 0.250 0.250 0.415



x) takes first place; second place is 25 meV per atom up.



w) # Cs2KRb, single point on PBEsol structure, DFT SCAN
# - crystal system = cubic
# - theoretical density (kg/m³) = 1776
data_Cs2KRb
_space_group_name_H-M_alt 'F m -3 m'
_space_group_IT_number 225
_space_group_name_Hall '-F 4 2 3'
_cell_length_a 11.345
_cell_length_b 11.345
_cell_length_c 11.345
_cell_angle_alpha 90.00
_cell_angle_beta 90.00
_cell_angle_gamma 90.00
loop_
_atom_site_label
_atom_site_type_symbol
_atom_site_fract_x
_atom_site_fract_y
_atom_site_fract_z
Cs1 Cs 0.250 0.250 0.250
K1 K 0.000 0.000 0.000
Rb1 Rb 0.000 0.000 0.500



x) # Cs2KRb, single point on PBEsol structure, DFT SCAN
# - crystal system = tetragonal
# - theoretical density (kg/m³) = 1701
data_Cs2KRb
_space_group_name_H-M_alt 'I -4 2 d'
_space_group_IT_number 122
_space_group_name_Hall 'I -4 2bw'
_cell_length_a 12.607
_cell_length_b 12.607
_cell_length_c 9.588
_cell_angle_alpha 90.00
_cell_angle_beta 90.00
_cell_angle_gamma 90.00
loop_
_atom_site_label
_atom_site_type_symbol
_atom_site_fract_x
_atom_site_fract_y
_atom_site_fract_z
Cs1 Cs 0.242 0.250 0.125
K1 K 0.000 0.000 0.000
Rb1 Rb 0.000 0.000 0.500



w) takes first place; second place is 54 meV per atom up.



w) # Fe2Rh3, single point on PBEsol structure, DFT SCAN
# - crystal system = trigonal
# - theoretical density (kg/m³) = 11034
data_Fe2Rh3
_space_group_name_H-M_alt 'R -3 m'
_space_group_IT_number 166
_space_group_name_Hall '-R 3 2"'
_cell_length_a 2.6365
_cell_length_b 2.6365
_cell_length_c 31.5302
_cell_angle_alpha 90.00
_cell_angle_beta 90.00
_cell_angle_gamma 120.00
loop_
_atom_site_label
_atom_site_type_symbol
_atom_site_fract_x
_atom_site_fract_y
_atom_site_fract_z
Fe1 Fe 0.0000 0.0000 0.1003
Rh1 Rh 0.0000 0.0000 0.2976
Rh2 Rh 0.0000 0.0000 0.5000



x) # Fe2Rh3, single point on PBEsol structure, DFT SCAN
# - crystal system = orthorhombic
# - theoretical density (kg/m³) = 11074
data_Fe2Rh3
_space_group_name_H-M_alt 'I m m m'
_space_group_IT_number 71
_space_group_name_Hall '-I 2 2'
_cell_length_a 2.641
_cell_length_b 3.658
_cell_length_c 13.051
_cell_angle_alpha 90.00
_cell_angle_beta 90.00
_cell_angle_gamma 90.00
loop_
_atom_site_label
_atom_site_type_symbol
_atom_site_fract_x
_atom_site_fract_y
_atom_site_fract_z
Fe1 Fe 0.000 0.000 0.201
Rh1 Rh 0.000 0.000 0.000
Rh2 Rh 0.000 0.000 0.393



w) takes first place; second place is 17 meV per atom up.



w) # CrCo3, single point on PBEsol structure, DFT SCAN
# - crystal system = tetragonal
# - theoretical density (kg/m³) = 9419
data_CrCo3
_space_group_name_H-M_alt 'I 4/m m m'
_space_group_IT_number 139
_space_group_name_Hall '-I 4 2'
_cell_length_a 3.431
_cell_length_b 3.431
_cell_length_c 13.710
_cell_angle_alpha 90.00
_cell_angle_beta 90.00
_cell_angle_gamma 90.00
loop_
_atom_site_label
_atom_site_type_symbol
_atom_site_fract_x
_atom_site_fract_y
_atom_site_fract_z
Cr1 Cr 0.000 0.000 0.128
Co1 Co 0.000 0.000 0.378
Co2 Co 0.000 0.500 0.000
Co3 Co 0.000 0.500 0.250



x) # CrCo3, single point on PBEsol structure, DFT SCAN
# - crystal system = orthorhombic
# - theoretical density (kg/m³) = 9362
data_CrCo3
_space_group_name_H-M_alt 'P m m n'
_space_group_IT_number 59
_cell_length_a 3.893
_cell_length_b 4.902
_cell_length_c 4.253
_cell_angle_alpha 90.00
_cell_angle_beta 90.00
_cell_angle_gamma 90.00
loop_
_space_group_symop_operation_xyz
'x,y,z'
'-x,-y,-z'
'-x+1/2,-y+1/2,z'
'x+1/2,y+1/2,-z'
'x+1/2,-y,-z'
'-x+1/2,y,z'
'-x,y+1/2,-z'
'x,-y+1/2,z'
loop_
_atom_site_label
_atom_site_type_symbol
_atom_site_fract_x
_atom_site_fract_y
_atom_site_fract_z
Cr1 Cr 0.250 0.250 0.165
Co1 Co 0.250 0.001 0.669
Co2 Co 0.250 0.750 0.169



x) takes first place; second place is 26 meV per atom up.



w) # PPd3Pb, single point on PBEsol structure, DFT SCAN
# - crystal system = cubic
# - theoretical density (kg/m³) = 7784
data_PPd3Pb
_space_group_name_H-M_alt 'P m -3 m'
_space_group_IT_number 221
_space_group_name_Hall '-P 4 2 3'
_cell_length_a 4.918
_cell_length_b 4.918
_cell_length_c 4.918
_cell_angle_alpha 90.00
_cell_angle_beta 90.00
_cell_angle_gamma 90.00
loop_
_atom_site_label
_atom_site_type_symbol
_atom_site_fract_x
_atom_site_fract_y
_atom_site_fract_z
P1 P 0.000 0.000 0.000
Pd1 Pd 0.000 0.500 0.500
Pb1 Pb 0.500 0.500 0.500



x) # PPd3Pb, single point on PBEsol structure, DFT SCAN
# - crystal system = cubic
# - theoretical density (kg/m³) = 10032
data_PPd3Pb
_space_group_name_H-M_alt 'P m -3 m'
_space_group_IT_number 221
_space_group_name_Hall '-P 4 2 3'
_cell_length_a 4.519
_cell_length_b 4.519
_cell_length_c 4.519
_cell_angle_alpha 90.00
_cell_angle_beta 90.00
_cell_angle_gamma 90.00
loop_
_atom_site_label
_atom_site_type_symbol
_atom_site_fract_x
_atom_site_fract_y
_atom_site_fract_z
P1 P 0.000 0.000 0.000
Pd1 Pd 0.000 0.000 0.500
Pb1 Pb 0.500 0.500 0.500



x) takes first place; second place is 1451 meV per atom up.